1.
! CdBRhO5 | Alexandria | PBE | optimized geometry; values from VASP
&SYSTEM
  ibrav = 0, nat = 16, ntyp = 4
/
ATOMIC_SPECIES
Cd 112.41 Cd.upf
B 10.81 B.upf
Rh 102.91 Rh.upf
O 16.00 O.upf
CELL_PARAMETERS angstrom
3.2024 -4.2288 0.0000
3.2024 4.2288 0.0000
-2.9751 0.0000 6.3150
ATOMIC_POSITIONS crystal
Cd 0.1555 0.8445 0.7500
Cd 0.8445 0.1555 0.2500
B 0.1907 0.8093 0.2500
B 0.8093 0.1907 0.7500
Rh 0.5000 0.5000 0.0000
Rh 0.5000 0.5000 0.5000
O 0.0975 0.2466 0.9055
O 0.1796 0.6165 0.3684
O 0.2466 0.0975 0.4055
O 0.3835 0.8204 0.1316
O 0.4135 0.5865 0.7500
O 0.5865 0.4135 0.2500
O 0.6165 0.1796 0.8684
O 0.7534 0.9025 0.5945
O 0.8204 0.3835 0.6316
O 0.9025 0.7534 0.0945
! formation energy without anion corrections	-1200.5	meV/atom


2.
! CdBRhO4 | Alexandria | PBE | optimized geometry; values from VASP
&SYSTEM
  ibrav = 0, nat = 14, ntyp = 4
/
ATOMIC_SPECIES
Cd 112.41 Cd.upf
B 10.81 B.upf
Rh 102.91 Rh.upf
O 16.00 O.upf
CELL_PARAMETERS angstrom
2.8495 -4.2411 0.0000
2.8495 4.2411 0.0000
0.0000 0.0000 6.3708
ATOMIC_POSITIONS crystal
Cd 0.0000 0.0000 0.0000
Cd 0.0000 0.0000 0.5000
B 0.3727 0.6273 0.7500
B 0.6273 0.3727 0.2500
Rh 0.3150 0.6850 0.2500
Rh 0.6850 0.3150 0.7500
O 0.2762 0.7238 0.5624
O 0.2762 0.7238 0.9376
O 0.2828 0.3063 0.7500
O 0.3063 0.2828 0.2500
O 0.6937 0.7172 0.7500
O 0.7172 0.6937 0.2500
O 0.7238 0.2762 0.0624
O 0.7238 0.2762 0.4376
! formation energy without anion corrections	-1140.8	meV/atom


3.
! CdB2RhO6 | Alexandria | PBE | optimized geometry; values from VASP
&SYSTEM
  ibrav = 0, nat = 10, ntyp = 4
/
ATOMIC_SPECIES
Cd 112.41 Cd.upf
B 10.81 B.upf
Rh 102.91 Rh.upf
O 16.00 O.upf
CELL_PARAMETERS angstrom
2.4246 1.3999 5.1960
-2.4246 1.3999 5.1960
0.0000 -2.7997 5.1960
ATOMIC_POSITIONS crystal
Cd 0.0000 0.0000 0.0000
B 0.2380 0.2380 0.2380
B 0.7620 0.7620 0.7620
Rh 0.5000 0.5000 0.5000
O 0.0572 0.7314 0.4880
O 0.2686 0.5120 0.9428
O 0.4880 0.0572 0.7314
O 0.5120 0.9428 0.2686
O 0.7314 0.4880 0.0572
O 0.9428 0.2686 0.5120
! formation energy without anion corrections	-1604.8	meV/atom


We obtain magnetic moment values of 0.00; 0.00; 1.04 Bohr magnetons per cell for the records listed above, in that order.